A geometry-optimized Mg2Mn2Ir structure, computed with PBE.

## Properties
space-group type = I4/mmm
VASP energy = -5.366 eV per atom
polymorph energy (0 for the lowest one) = 541.1 meV/atom

```
5
Lattice="-1.803 1.803 6.563 1.803 -1.803 6.563 1.803 1.803 -6.563" Properties=species:S:1:pos:R:3 pbc="T T T"
Mg 1.803 0.000 3.281
Mg 0.000 1.803 3.281
Mn 0.000 0.000 1.149
Mn 0.000 0.000 11.977
Ir 0.000 0.000 6.563
```

A geometry-optimized MgMnIr2 structure, computed with PBE.

## Properties
space-group type = Imm2
VASP energy = -7.228 eV per atom

```
4
Lattice="-1.500 2.174 4.508 1.500 -2.174 4.508 1.500 2.174 -4.508" Properties=species:S:1:pos:R:3 pbc="T T T"
Mg 0.000 0.000 0.000
Mn 1.500 0.000 2.354
Ir 0.000 0.000 4.444
Ir 0.000 2.174 2.202
```

A geometry-optimized Mg3MnIr structure, computed with PBE.

## Properties
space-group type = Pm-3m
VASP energy = -4.165 eV per atom
polymorph energy (0 for the lowest one) = 0.0 meV/atom

```
5
Lattice="4.943 0.000 0.000 0.000 4.943 0.000 0.000 0.000 4.943" Properties=species:S:1:pos:R:3 pbc="T T T"
Mg 0.000 0.000 2.472
Mg 0.000 2.472 0.000
Mg 2.472 0.000 0.000
Mn 2.472 2.472 2.472
Ir 0.000 0.000 0.000
```

The records above yield DOS(E_F) values of 1.102 0.930 0.648 states/eV per atom, respectively.
The records above yield energy of formation from the pure elements values of 711 -106 398 meV/atom, respectively.
The records above yield size of the total moment values of 7.33 3.33 4.66 μB per formula unit, respectively.